VASP calculation (SCAN) on CrInRe2 at its PBEsol-relaxed geometry.

The structure in POSCAR format:
```
CrInRe2
1.0
2.865 0.000 0.000
0.000 4.790 0.011
0.000 -1.879 4.406
Cr Re In
1 2 1
Cartesian
1.432 0.000 0.000 Cr
0.000 2.395 0.005 Re
0.000 -0.940 2.203 Re
1.432 1.455 2.209 In
```

Output
D(E_F)   3.7 states/eV/f.u.
Uncorrected energy   -191.6 eV for the cell shown
Space-group type   Cmmm (65)
Formation energy   57.5 kJ/mol of atoms